#i
Computed, not measured: a geometry-optimized Tb2SmBe structure at the PBE level of DFT.

a = 3.4893 Å, b = 3.4893 Å, c = 8.6583 Å
α = 90.00°, β = 90.00°, γ = 90.00°
Fractional positions:
1 Tb 0.0000 0.0000 0.1915
2 Tb 0.0000 0.0000 0.8085
3 Sm 0.5000 0.5000 0.5000
4 Be 0.5000 0.5000 0.0000

#ii
Computed, not measured: a geometry-optimized Tb2SmBe structure at the PBE level of DFT.

a = 11.6471 Å, b = 11.6471 Å, c = 11.6471 Å
α = 17.12°, β = 17.12°, γ = 17.12°
Fractional positions:
1 Tb 0.0838 0.0838 0.0838
2 Tb 0.9162 0.9162 0.9162
3 Sm 0.5000 0.5000 0.5000
4 Be 0.0000 0.0000 0.0000

Stability, lowest: #ii

#i
Computed, not measured: a geometry-optimized Sm2TmBe structure at the PBE level of DFT.

a = 3.5357 Å, b = 3.5357 Å, c = 8.5079 Å
α = 90.00°, β = 90.00°, γ = 90.00°
Fractional positions:
1 Sm 0.0000 0.0000 0.1983
2 Sm 0.0000 0.0000 0.8017
3 Tm 0.5000 0.5000 0.5000
4 Be 0.5000 0.5000 0.0000

#ii
Computed, not measured: a geometry-optimized Sm2TmBe structure at the PBE level of DFT.

a = 11.6809 Å, b = 11.6809 Å, c = 11.6809 Å
α = 16.93°, β = 16.93°, γ = 16.93°
Fractional positions:
1 Sm 0.0848 0.0848 0.0848
2 Sm 0.9152 0.9152 0.9152
3 Tm 0.5000 0.5000 0.5000
4 Be 0.0000 0.0000 0.0000

Stability, lowest: #ii

#i
Computed, not measured: a geometry-optimized SmBeZn structure at the PBE level of DFT.

a = 4.2776 Å, b = 4.2776 Å, c = 3.7015 Å
α = 90.00°, β = 90.00°, γ = 120.00°
Fractional positions:
1 Sm 0.0000 0.0000 0.0000
2 Be 0.6667 0.3333 0.5000
3 Zn 0.3333 0.6667 0.5000

#ii
Computed, not measured: a geometry-optimized SmBeZn structure at the PBE level of DFT.

a = 7.3054 Å, b = 4.4230 Å, c = 6.8951 Å
α = 90.00°, β = 90.00°, γ = 90.00°
Fractional positions:
1 Sm 0.0185 0.2500 0.1983
2 Sm 0.4815 0.7500 0.6983
3 Sm 0.5185 0.2500 0.3017
4 Sm 0.9815 0.7500 0.8017
5 Be 0.1738 0.7500 0.4239
6 Be 0.3262 0.2500 0.9239
7 Be 0.6738 0.7500 0.0761
8 Be 0.8262 0.2500 0.5761
9 Zn 0.1869 0.2500 0.5990
10 Zn 0.3131 0.7500 0.0990
11 Zn 0.6869 0.2500 0.9010
12 Zn 0.8131 0.7500 0.4010

Stability, lowest: #i

#i
Computed, not measured: a geometry-optimized Sr2BeSn structure at the PBE level of DFT.

a = 5.5651 Å, b = 5.5651 Å, c = 5.5651 Å
α = 60.00°, β = 60.00°, γ = 60.00°
Fractional positions:
1 Sr 0.2500 0.2500 0.2500
2 Sr 0.7500 0.7500 0.7500
3 Be 0.0000 0.0000 0.0000
4 Sn 0.5000 0.5000 0.5000

#ii
Computed, not measured: a geometry-optimized Sr2BeSn structure at the PBE level of DFT.

a = 11.0345 Å, b = 11.0345 Å, c = 11.0345 Å
α = 151.79°, β = 151.79°, γ = 40.31°
Fractional positions:
1 Sr 0.1112 0.6250 0.9862
2 Sr 0.3750 0.3612 0.4862
3 Sr 0.6388 0.1250 0.0138
4 Sr 0.8750 0.8888 0.5138
5 Be 0.0000 0.0000 0.0000
6 Be 0.7500 0.2500 0.5000
7 Sn 0.2500 0.7500 0.5000
8 Sn 0.5000 0.5000 0.0000

Stability, lowest: #ii

#i
Computed, not measured: a geometry-optimized SrBeSn3 structure at the PBE level of DFT.

a = 5.1119 Å, b = 5.1119 Å, c = 5.1119 Å
α = 90.00°, β = 90.00°, γ = 90.00°
Fractional positions:
1 Sr 0.0000 0.0000 0.0000
2 Be 0.5000 0.5000 0.5000
3 Sn 0.0000 0.5000 0.5000
4 Sn 0.5000 0.0000 0.5000
5 Sn 0.5000 0.5000 0.0000

#ii
Computed, not measured: a geometry-optimized SrBeSn3 structure at the PBE level of DFT.

a = 6.0889 Å, b = 6.0889 Å, c = 6.0889 Å
α = 90.00°, β = 90.00°, γ = 90.00°
Fractional positions:
1 Sr 0.0000 0.0000 0.0000
2 Be 0.5000 0.5000 0.5000
3 Sn 0.0000 0.0000 0.5000
4 Sn 0.0000 0.5000 0.0000
5 Sn 0.5000 0.0000 0.0000

Stability, lowest: #ii

#i
Computed, not measured: a geometry-optimized TaBeSn3 structure at the PBE level of DFT.

a = 5.3891 Å, b = 5.3891 Å, c = 5.3891 Å
α = 90.00°, β = 90.00°, γ = 90.00°
Fractional positions:
1 Ta 0.0000 0.0000 0.0000
2 Be 0.5000 0.5000 0.5000
3 Sn 0.0000 0.0000 0.5000
4 Sn 0.0000 0.5000 0.0000
5 Sn 0.5000 0.0000 0.0000

#ii
Computed, not measured: a geometry-optimized TaBeSn3 structure at the PBE level of DFT.

a = 4.8115 Å, b = 4.8115 Å, c = 4.8115 Å
α = 90.00°, β = 90.00°, γ = 90.00°
Fractional positions:
1 Ta 0.0000 0.0000 0.0000
2 Be 0.5000 0.5000 0.5000
3 Sn 0.0000 0.5000 0.5000
4 Sn 0.5000 0.0000 0.5000
5 Sn 0.5000 0.5000 0.0000

Stability, lowest: #ii

#i
Computed, not measured: a geometry-optimized BeTc3Sn structure at the PBE level of DFT.

a = 4.8815 Å, b = 4.8815 Å, c = 4.8815 Å
α = 90.00°, β = 90.00°, γ = 90.00°
Fractional positions:
1 Be 0.0000 0.0000 0.0000
2 Tc 0.0000 0.5000 0.5000
3 Tc 0.5000 0.0000 0.5000
4 Tc 0.5000 0.5000 0.0000
5 Sn 0.5000 0.5000 0.5000

#ii
Computed, not measured: a geometry-optimized BeTc3Sn structure at the PBE level of DFT.

a = 4.2356 Å, b = 4.2356 Å, c = 4.2356 Å
α = 90.00°, β = 90.00°, γ = 90.00°
Fractional positions:
1 Be 0.0000 0.0000 0.0000
2 Tc 0.0000 0.0000 0.5000
3 Tc 0.0000 0.5000 0.0000
4 Tc 0.5000 0.0000 0.0000
5 Sn 0.5000 0.5000 0.5000

Stability, lowest: #i

#i
Computed, not measured: a geometry-optimized BeTc2Sn structure at the PBE level of DFT.

a = 4.3696 Å, b = 4.3696 Å, c = 4.3696 Å
α = 60.00°, β = 60.00°, γ = 60.00°
Fractional positions:
1 Be 0.0000 0.0000 0.0000
2 Tc 0.2500 0.2500 0.2500
3 Tc 0.7500 0.7500 0.7500
4 Sn 0.5000 0.5000 0.5000

#ii
Computed, not measured: a geometry-optimized BeTc2Sn structure at the PBE level of DFT.

a = 9.3298 Å, b = 9.3298 Å, c = 9.3298 Å
α = 155.81°, β = 155.81°, γ = 34.47°
Fractional positions:
1 Be 0.0000 0.0000 0.0000
2 Be 0.7500 0.2500 0.5000
3 Tc 0.0418 0.1250 0.4168
4 Tc 0.3750 0.9582 0.0832
5 Tc 0.7082 0.6250 0.5832
6 Tc 0.8750 0.2918 0.9168
7 Sn 0.2500 0.7500 0.5000
8 Sn 0.5000 0.5000 0.0000

Stability, lowest: #ii

#i
Computed, not measured: a geometry-optimized BeSn3Te structure at the PBE level of DFT.

a = 5.0470 Å, b = 5.0470 Å, c = 5.0470 Å
α = 90.00°, β = 90.00°, γ = 90.00°
Fractional positions:
1 Be 0.0000 0.0000 0.0000
2 Sn 0.0000 0.0000 0.5000
3 Sn 0.0000 0.5000 0.0000
4 Sn 0.5000 0.0000 0.0000
5 Te 0.5000 0.5000 0.5000

#ii
Computed, not measured: a geometry-optimized BeSn3Te structure at the PBE level of DFT.

a = 5.8744 Å, b = 5.8744 Å, c = 5.8744 Å
α = 90.00°, β = 90.00°, γ = 90.00°
Fractional positions:
1 Be 0.0000 0.0000 0.0000
2 Sn 0.0000 0.5000 0.5000
3 Sn 0.5000 0.0000 0.5000
4 Sn 0.5000 0.5000 0.0000
5 Te 0.5000 0.5000 0.5000

Stability, lowest: #ii

#i
Computed, not measured: a geometry-optimized BeSn2Te structure at the PBE level of DFT.

a = 7.5884 Å, b = 7.5884 Å, c = 7.5884 Å
α = 131.92°, β = 131.92°, γ = 70.36°
Fractional positions:
1 Be 0.0000 0.0000 0.0000
2 Be 0.7500 0.2500 0.5000
3 Sn 0.0453 0.6250 0.9203
4 Sn 0.3750 0.2953 0.4203
5 Sn 0.7047 0.1250 0.0797
6 Sn 0.8750 0.9547 0.5797
7 Te 0.2500 0.7500 0.5000
8 Te 0.5000 0.5000 0.0000

#ii
Computed, not measured: a geometry-optimized BeSn2Te structure at the PBE level of DFT.

a = 5.2197 Å, b = 5.2197 Å, c = 5.2197 Å
α = 60.00°, β = 60.00°, γ = 60.00°
Fractional positions:
1 Be 0.0000 0.0000 0.0000
2 Sn 0.2500 0.2500 0.2500
3 Sn 0.7500 0.7500 0.7500
4 Te 0.5000 0.5000 0.5000

Stability, lowest: #ii

#i
Computed, not measured: a geometry-optimized TiBe3Sn structure at the PBE level of DFT.

a = 4.4951 Å, b = 4.4951 Å, c = 4.4951 Å
α = 90.00°, β = 90.00°, γ = 90.00°
Fractional positions:
1 Ti 0.0000 0.0000 0.0000
2 Be 0.0000 0.0000 0.5000
3 Be 0.0000 0.5000 0.0000
4 Be 0.5000 0.0000 0.0000
5 Sn 0.5000 0.5000 0.5000

#ii
Computed, not measured: a geometry-optimized TiBe3Sn structure at the PBE level of DFT.

a = 4.4620 Å, b = 4.4620 Å, c = 4.4620 Å
α = 90.00°, β = 90.00°, γ = 90.00°
Fractional positions:
1 Ti 0.0000 0.0000 0.0000
2 Be 0.0000 0.5000 0.5000
3 Be 0.5000 0.0000 0.5000
4 Be 0.5000 0.5000 0.0000
5 Sn 0.5000 0.5000 0.5000

Stability, lowest: #i

#i
Computed, not measured: a geometry-optimized Ti2BeSn structure at the PBE level of DFT.

a = 3.9446 Å, b = 3.9446 Å, c = 4.1316 Å
α = 90.00°, β = 90.00°, γ = 90.00°
Fractional positions:
1 Ti 0.0000 0.5000 0.0000
2 Ti 0.5000 0.0000 0.0000
3 Be 0.0000 0.0000 0.5000
4 Sn 0.5000 0.5000 0.5000

#ii
Computed, not measured: a geometry-optimized Ti2BeSn structure at the PBE level of DFT.

a = 5.7182 Å, b = 5.7182 Å, c = 5.7182 Å
α = 102.68°, β = 102.68°, γ = 124.12°
Fractional positions:
1 Ti 0.0968 0.6250 0.9718
2 Ti 0.3750 0.3468 0.4718
3 Ti 0.6532 0.1250 0.0282
4 Ti 0.8750 0.9032 0.5282
5 Be 0.0000 0.0000 0.0000
6 Be 0.7500 0.2500 0.5000
7 Sn 0.2500 0.7500 0.5000
8 Sn 0.5000 0.5000 0.0000

#iii
Computed, not measured: a geometry-optimized Ti2BeSn structure at the PBE level of DFT.

a = 4.5226 Å, b = 4.5226 Å, c = 4.5226 Å
α = 60.00°, β = 60.00°, γ = 60.00°
Fractional positions:
1 Ti 0.2500 0.2500 0.2500
2 Ti 0.7500 0.7500 0.7500
3 Be 0.0000 0.0000 0.0000
4 Sn 0.5000 0.5000 0.5000

#iv
Computed, not measured: a geometry-optimized Ti2BeSn structure at the PBE level of DFT.

a = 5.0191 Å, b = 5.0191 Å, c = 5.0191 Å
α = 49.79°, β = 49.79°, γ = 49.79°
Fractional positions:
1 Ti 0.2298 0.2298 0.2298
2 Ti 0.7702 0.7702 0.7702
3 Be 0.5000 0.5000 0.5000
4 Sn 0.0000 0.0000 0.0000

Stability, lowest: #ii